No. 1
A plane-wave DFT calculation with PBE was carried out for a relaxed CeAlCo crystal.

Unit cell a=11.0788 b=4.4326 c=4.7298 alpha=90.00 beta=106.48 gamma=90.00
Last column: nearest neighbours and their distance in Å.
Space group C2/m (No. 12)
Unique sites:
1 Ce 0.1313 0.0000 0.3336 [4 per cell]  2 Co 2.31-2.58
2 Al 0.0855 0.5000 0.8169 [4 per cell]  3 Co 2.48-2.56
3 Co 0.1891 0.0000 0.8431 [4 per cell]  2 Ce 2.31-2.58, 3 Al 2.48-2.56

Summary:
The calculation puts the volume at 18.56 Å³ per atom. The value obtained for the formation energy is -522 meV per atom. As for the density of states at the Fermi level: 2.60 states/eV/f.u.



No. 2
A plane-wave DFT calculation with PBE was carried out for a relaxed Ce2Al5Co3 crystal.

Unit cell a=4.0879 b=24.3649 c=6.7255 alpha=90.00 beta=90.00 gamma=90.00
Last column: nearest neighbours and their distance in Å.
Space group Cmc2_1 (No. 36)
Unique sites:
1 Ce 0.0000 0.0320 0.0000 [4 per cell]  1 Co 2.30
2 Ce 0.0000 0.3252 0.8956 [4 per cell]  4 Co 2.91-3.02, 9 Al 2.98-3.14
3 Al 0.0000 0.0964 0.5983 [4 per cell]  3 Co 2.51-2.60
4 Al 0.0000 0.2068 0.0801 [4 per cell]  4 Co 2.50-2.62, 1 Al 2.60
5 Al 0.0000 0.2116 0.6941 [4 per cell]  3 Co 2.47, 1 Al 2.60
6 Al 0.0000 0.3658 0.4221 [4 per cell]  2 Co 2.45-2.57
7 Al 0.0000 0.4466 0.8406 [4 per cell]  4 Co 2.51-2.57
8 Co 0.0000 0.1059 0.2137 [4 per cell]  1 Ce 2.30, 2 Al 2.56
9 Co 0.0000 0.2659 0.3847 [4 per cell]  7 Al 2.45-2.52
10 Co 0.0000 0.4540 0.2126 [4 per cell]  5 Al 2.51-2.57

Summary:
The calculation puts the volume at 16.75 Å³ per atom. The value obtained for the formation energy is -460 meV per atom. As for the density of states at the Fermi level: 8.00 states/eV/f.u.



No. 3
A plane-wave DFT calculation with PBE was carried out for a relaxed Ce2AlFe2Co5 crystal.

Unit cell a=8.5861 b=8.5861 c=3.8756 alpha=90.00 beta=90.00 gamma=90.00
Last column: nearest neighbours and their distance in Å.
Space group P4/mbm (No. 127)
Unique sites:
1 Ce 0.1585 0.3415 0.0000 [4 per cell]  1 Fe 2.26
2 Al 0.0000 0.0000 0.0000 [2 per cell]  8 Co 2.61
3 Fe 0.1550 0.6550 0.0000 [4 per cell]  1 Ce 2.26, 4 Co 2.46
4 Co 0.0000 0.5000 0.5000 [2 per cell]  4 Fe 2.70, 4 Co 2.72, 4 Ce 2.73
5 Co 0.0698 0.8096 0.5000 [8 per cell]  2 Fe 2.46, 3 Co 2.46-2.72, 2 Al 2.61

Summary:
The calculation puts the volume at 14.29 Å³ per atom. The value obtained for the formation energy is -98 meV per atom. As for the density of states at the Fermi level: 8.34 states/eV/f.u.



No. 4
A plane-wave DFT calculation with PBE was carried out for a relaxed Ce6Al2CoH crystal.

Unit cell a=9.7627 b=9.7800 c=6.9092 alpha=90.00 beta=134.88 gamma=90.00
Last column: nearest neighbours and their distance in Å.
Space group C2/m (No. 12)
Unique sites:
1 Ce 0.0000 0.2375 0.0000 [4 per cell]  1 H 2.32, 1 Co 2.57
2 Ce 0.2362 0.0000 0.4717 [4 per cell]  1 H 2.31
3 Ce 0.2405 0.0000 0.0012 [4 per cell]  1 H 2.34, 1 Co 2.54
4 Al 0.0000 0.2496 0.5000 [4 per cell]  12 Ce 3.46
5 Co 0.0000 0.5000 0.0000 [2 per cell]  6 Ce 2.54-2.59
6 H 0.0000 0.0000 0.0000 [2 per cell]  6 Ce 2.31-2.34

Summary:
Its total energy is -5.498 eV per atom. The calculation puts the volume at 23.37 Å³ per atom. As for the density of states at the Fermi level: 20.00 states/eV/f.u.



No. 5
A plane-wave DFT calculation with PBE was carried out for a relaxed La2CeAl12Co3 crystal.

Unit cell a=8.4622 b=8.4622 c=18.9783 alpha=90.00 beta=90.00 gamma=120.00
Last column: nearest neighbours and their distance in Å.
Space group R-3m (No. 166, hexagonal axes)
Unique sites:
1 La 0.0000 0.0000 0.0834 [6 per cell]  6 Al 3.09-3.34, 1 La 3.17
2 Ce 0.0000 0.0000 0.5000 [3 per cell]  12 Al 3.27-3.42
3 Al 0.0858 0.5429 0.3195 [18 per cell]  2 Co 2.21
4 Al 0.0933 0.5467 0.8842 [18 per cell]  1 Co 2.30
5 Co 0.0000 0.5000 0.0000 [9 per cell]  6 Al 2.21-2.30

Summary:
The calculation puts the volume at 21.80 Å³ per atom. The value obtained for the formation energy is -35 meV per atom. As for the density of states at the Fermi level: 15.46 states/eV/f.u.



No. 6
A plane-wave DFT calculation with PBE was carried out for a relaxed LiCeAlCo crystal.

Unit cell a=6.4217 b=6.4217 c=6.4217 alpha=90.00 beta=90.00 gamma=90.00
Last column: nearest neighbours and their distance in Å.
Space group F-43m (No. 216)
Unique sites:
1 Li 0.0000 0.0000 0.0000 [4 per cell]  4 Ce 2.78, 4 Al 2.78
2 Ce 0.2500 0.2500 0.2500 [4 per cell]  4 Co 2.78, 4 Li 2.78
3 Al 0.2500 0.2500 0.7500 [4 per cell]  4 Li 2.78, 4 Co 2.78
4 Co 0.0000 0.0000 0.5000 [4 per cell]  4 Al 2.78, 4 Ce 2.78

Summary:
The calculation puts the volume at 16.55 Å³ per atom. The value obtained for the formation energy is -211 meV per atom. As for the density of states at the Fermi level: 5.38 states/eV/f.u.



No. 7
A plane-wave DFT calculation with PBE was carried out for a relaxed CeAlCo5P2 crystal.

Unit cell a=3.7721 b=3.7721 c=9.2560 alpha=90.00 beta=90.00 gamma=90.00
Last column: nearest neighbours and their distance in Å.
Space group P4/mmm (No. 123)
Unique sites:
1 Ce 0.0000 0.0000 0.0000 [1 per cell]  4 Co 2.67
2 Al 0.0000 0.0000 0.5000 [1 per cell]  8 Co 2.39
3 Co 0.0000 0.5000 0.3405 [4 per cell]  2 P 2.14, 2 Al 2.39
4 Co 0.5000 0.5000 0.0000 [1 per cell]  2 P 2.14
5 P 0.5000 0.5000 0.2315 [2 per cell]  5 Co 2.14

Summary:
The calculation puts the volume at 14.63 Å³ per atom. The value obtained for the formation energy is -440 meV per atom. As for the density of states at the Fermi level: 7.54 states/eV/f.u.



No. 8
A plane-wave DFT calculation with PBE was carried out for a relaxed Ce2Al4CoPt3 crystal.

Unit cell a=4.2067 b=4.2067 c=10.4261 alpha=90.00 beta=90.00 gamma=90.00
Last column: nearest neighbours and their distance in Å.
Space group P-4m2 (No. 115)
Unique sites:
1 Ce 0.0000 0.5000 0.2445 [2 per cell]  6 Pt 3.22-3.31, 8 Al 3.24-3.39, 2 Co 3.31
2 Al 0.0000 0.0000 0.5000 [1 per cell]  4 Pt 2.55
3 Al 0.0000 0.5000 0.8779 [2 per cell]  2 Co 2.46, 3 Pt 2.46-2.50
4 Al 0.5000 0.5000 0.5000 [1 per cell]  4 Pt 2.55
5 Co 0.5000 0.5000 0.0000 [1 per cell]  4 Al 2.46
6 Pt 0.0000 0.0000 0.0000 [1 per cell]  4 Al 2.46
7 Pt 0.0000 0.5000 0.6378 [2 per cell]  5 Al 2.50-2.55

Summary:
The calculation puts the volume at 18.45 Å³ per atom. The value obtained for the formation energy is -927 meV per atom. As for the density of states at the Fermi level: 11.93 states/eV/f.u.



No. 9
A plane-wave DFT calculation with PBE was carried out for a relaxed Ce3AlCo2Si6 crystal.

Unit cell a=5.6965 b=5.6965 c=8.0108 alpha=90.00 beta=90.00 gamma=120.00
Last column: nearest neighbours and their distance in Å.
Space group P-3m1 (No. 164)
Unique sites:
1 Ce 0.0000 0.0000 0.0000 [1 per cell]  6 Si 2.92
2 Ce 0.3333 0.6667 0.6196 [2 per cell]  9 Si 2.97-3.08
3 Al 0.0000 0.0000 0.5000 [1 per cell]  6 Si 2.59
4 Co 0.3333 0.6667 0.0531 [2 per cell]  3 Si 2.29
5 Si 0.1907 0.3814 0.2781 [6 per cell]  1 Co 2.29, 2 Si 2.44

Summary:
The calculation puts the volume at 18.76 Å³ per atom. As for the density of states at the Fermi level: 12.32 states/eV/f.u. For the formation energy from raw total energies, the calculation gives -0.237 eV per atom.



No. 10
A plane-wave DFT calculation with PBE was carried out for a relaxed Ce2AlCo4Si3 crystal.

Unit cell a=3.9376 b=3.9376 c=9.8590 alpha=90.00 beta=90.00 gamma=90.00
Last column: nearest neighbours and their distance in Å.
Space group P-4m2 (No. 115)
Unique sites:
1 Ce 0.0000 0.5000 0.2485 [2 per cell]  8 Co 2.98-3.17, 6 Si 3.06-3.14, 2 Al 3.14
2 Al 0.5000 0.5000 0.0000 [1 per cell]  4 Co 2.41
3 Co 0.0000 0.0000 0.5000 [1 per cell]  4 Si 2.31
4 Co 0.0000 0.5000 0.8591 [2 per cell]  3 Si 2.33-2.41, 2 Al 2.41
5 Co 0.5000 0.5000 0.5000 [1 per cell]  4 Si 2.31
6 Si 0.0000 0.0000 0.0000 [1 per cell]  4 Co 2.41
7 Si 0.0000 0.5000 0.6229 [2 per cell]  5 Co 2.31-2.33

Summary:
The calculation puts the volume at 15.29 Å³ per atom. As for the density of states at the Fermi level: 11.50 states/eV/f.u. For the formation energy from raw total energies, the calculation gives -0.693 eV per atom.



No. 11
A plane-wave DFT calculation with PBE was carried out for a relaxed CeAlCoTc crystal.

Unit cell a=6.3801 b=6.3801 c=6.3801 alpha=90.00 beta=90.00 gamma=90.00
Last column: nearest neighbours and their distance in Å.
Space group F-43m (No. 216)
Unique sites:
1 Ce 0.0000 0.0000 0.0000 [4 per cell]  4 Co 2.76, 4 Tc 2.76
2 Al 0.0000 0.0000 0.5000 [4 per cell]  4 Tc 2.76, 4 Co 2.76
3 Co 0.2500 0.2500 0.7500 [4 per cell]  4 Ce 2.76, 4 Al 2.76
4 Tc 0.2500 0.2500 0.2500 [4 per cell]  4 Ce 2.76, 4 Al 2.76

Summary:
The calculation puts the volume at 16.23 Å³ per atom. The value obtained for the formation energy is -227 meV per atom. As for the density of states at the Fermi level: 1.69 states/eV/f.u.



No. 12
A plane-wave DFT calculation with PBE was carried out for a relaxed CeAlCr crystal.

Unit cell a=5.5250 b=8.7647 c=8.9830 alpha=90.00 beta=90.00 gamma=90.00
Last column: nearest neighbours and their distance in Å.
Space group Fmmm (No. 69)
Unique sites:
1 Ce 0.0000 0.0000 0.1817 [8 per cell]  4 Cr 2.66
2 Al 0.0000 0.1649 0.5000 [8 per cell]  4 Cr 2.74, 1 Al 2.89
3 Cr 0.2500 0.2500 0.2500 [8 per cell]  4 Ce 2.66, 4 Al 2.74, 2 Cr 2.76

Summary:
The calculation puts the volume at 18.13 Å³ per atom. The value obtained for the formation energy is 72 meV per atom. As for the density of states at the Fermi level: 3.64 states/eV/f.u.